# InCu2

A relaxed structure of InCu2 (PBEsol, Alexandria).

a = 2.9310 Å, b = 5.2988 Å, c = 6.4316 Å
α = 111.93°, β = 90.00°, γ = 106.06°
Closest atoms and distances in Å follow each position.
Fractional coordinates of all 6 atoms:
Cu1 0.8444 0.6889 0.4648  6 Cu 2.50-2.59, 3 In 2.68-2.72
Cu2 0.4627 0.9255 0.2745  5 Cu 2.50-2.70, 2 In 2.77
Cu3 0.1556 0.3111 0.5352  6 Cu 2.50-2.59, 3 In 2.68-2.72
Cu4 0.5373 0.0745 0.7255  5 Cu 2.50-2.70, 2 In 2.77
In1 0.8419 0.6839 0.8800  8 Cu 2.68-2.94, 3 In 2.93-2.98
In2 0.1581 0.3161 0.1200  8 Cu 2.68-2.94, 3 In 2.93-2.98

DOS at the Fermi energy	1.7	states/eV/cell
energy of formation from the pure elements	16	kJ/mol of formula units
symmetry	C2/m
final energy	-3.83	eV/atom

***

# InCu

A relaxed structure of InCu (PBEsol, Alexandria).

a = 2.9690 Å, b = 6.3849 Å, c = 6.5684 Å
α = 119.08°, β = 103.06°, γ = 90.00°
Closest atoms and distances in Å follow each position.
Fractional coordinates of all 6 atoms:
Cu1 0.1097 0.3769 0.2194  3 Cu 2.43-2.56, 3 In 2.66-2.67
Cu2 0.8903 0.1575 0.7806  3 Cu 2.43-2.56, 3 In 2.66-2.67
Cu3 0.5000 0.5336 0.0000  4 Cu 2.56, 5 In 2.73-2.78
In1 0.5000 0.9619 0.0000  5 Cu 2.73-2.74, 2 In 2.97
In2 0.2012 0.8530 0.4025  5 Cu 2.66-2.78, 2 In 2.97
In3 0.7988 0.4506 0.5975  5 Cu 2.66-2.78, 2 In 2.97

DOS at the Fermi energy	2.1	states/eV/cell
energy of formation from the pure elements	11	kJ/mol of formula units
symmetry	Imm2
final energy	-3.60	eV/atom

***

# InCu2

A relaxed structure of InCu2 (PBEsol, Alexandria).

a = 4.2070 Å, b = 4.2070 Å, c = 4.2070 Å
α = 60.00°, β = 60.00°, γ = 60.00°
Closest atoms and distances in Å follow each position.
Fractional coordinates of all 3 atoms:
In1 0.0000 0.0000 0.0000  8 Cu 2.58
Cu1 0.2500 0.2500 0.2500  4 In 2.58
Cu2 0.7500 0.7500 0.7500  4 In 2.58

DOS at the Fermi energy	1.3	states/eV/cell
energy of formation from the pure elements	113	kJ/mol of formula units
symmetry	Fm-3m
final energy	-3.49	eV/atom

***

# In3Cu

A relaxed structure of In3Cu (PBEsol, Alexandria).

a = 3.1461 Å, b = 4.4003 Å, c = 6.8405 Å
α = 108.76°, β = 103.29°, γ = 90.00°
Closest atoms and distances in Å follow each position.
Fractional coordinates of all 4 atoms:
In1 0.5000 0.0000 0.0000  4 Cu 2.70
In2 0.6866 0.6866 0.3733  2 Cu 2.82, 6 In 3.14-3.15
In3 0.3134 0.3134 0.6267  2 Cu 2.82, 6 In 3.14-3.15
Cu1 0.0000 0.5000 0.0000  8 In 2.70-2.82

DOS at the Fermi energy	1.4	states/eV/cell
energy of formation from the pure elements	25	kJ/mol of formula units
symmetry	Immm
final energy	-3.26	eV/atom

***

# In3Cu7

A relaxed structure of In3Cu7 (PBEsol, Alexandria).

a = 3.9008 Å, b = 5.3955 Å, c = 7.1762 Å
α = 103.27°, β = 105.77°, γ = 90.00°
Closest atoms and distances in Å follow each position.
Fractional coordinates of all 10 atoms:
Cu1 0.8005 0.8950 0.6010  5 In 2.60-2.79, 7 Cu 2.69-2.81
Cu2 0.5985 0.8103 0.1971  8 Cu 2.60-2.72, 4 In 2.70-2.71
Cu3 0.5950 0.3103 0.1901  7 Cu 2.60-2.81, 5 In 2.70-2.83
Cu4 0.1995 0.1050 0.3990  5 In 2.60-2.79, 7 Cu 2.69-2.81
Cu5 0.0000 0.5000 0.0000  4 In 2.62-2.70, 8 Cu 2.69-2.72
Cu6 0.4050 0.6897 0.8099  7 Cu 2.60-2.81, 5 In 2.70-2.83
Cu7 0.4015 0.1897 0.8029  8 Cu 2.60-2.72, 4 In 2.70-2.71
In1 0.8048 0.3799 0.6096  10 Cu 2.60-2.83
In2 0.1952 0.6201 0.3904  10 Cu 2.60-2.83
In3 0.0000 0.0000 0.0000  12 Cu 2.68-2.71

DOS at the Fermi energy	2.8	states/eV/cell
energy of formation from the pure elements	43	kJ/mol of formula units
symmetry	C2/m
final energy	-3.88	eV/atom

***

# In7Cu

A relaxed structure of In7Cu (PBEsol, Alexandria).

a = 6.4351 Å, b = 6.4351 Å, c = 6.4351 Å
α = 60.00°, β = 60.00°, γ = 60.00°
Closest atoms and distances in Å follow each position.
Fractional coordinates of all 8 atoms:
In1 0.5000 0.5000 0.5000  12 In 3.22
In2 0.5000 0.5000 0.0000  10 In 3.22, 2 Cu 3.22
In3 0.0000 0.0000 0.5000  2 Cu 3.22, 10 In 3.22
In4 0.5000 0.0000 0.5000  10 In 3.22, 2 Cu 3.22
In5 0.5000 0.0000 0.0000  10 In 3.22, 2 Cu 3.22
In6 0.0000 0.5000 0.0000  10 In 3.22, 2 Cu 3.22
In7 0.0000 0.5000 0.5000  10 In 3.22, 2 Cu 3.22
Cu1 0.0000 0.0000 0.0000  12 In 3.22

DOS at the Fermi energy	3.1	states/eV/cell
energy of formation from the pure elements	91	kJ/mol of formula units
symmetry	Fm-3m
final energy	-3.03	eV/atom

***

# InCu5

A relaxed structure of InCu5 (PBEsol, Alexandria).

a = 2.9948 Å, b = 2.9948 Å, c = 8.6304 Å
α = 90.00°, β = 90.00°, γ = 90.00°
Closest atoms and distances in Å follow each position.
Fractional coordinates of all 6 atoms:
Cu1 0.0000 0.0000 0.7976  5 Cu 2.47-2.57, 4 In 2.74
Cu2 0.5000 0.5000 0.3506  9 Cu 2.47-2.58
Cu3 0.0000 0.0000 0.5000  10 Cu 2.48-2.57
Cu4 0.5000 0.5000 0.6494  9 Cu 2.47-2.58
Cu5 0.0000 0.0000 0.2024  5 Cu 2.47-2.57, 4 In 2.74
In1 0.5000 0.5000 0.0000  10 Cu 2.74-3.03, 4 In 2.99

DOS at the Fermi energy	1.9	states/eV/cell
energy of formation from the pure elements	31	kJ/mol of formula units
symmetry	P4/mmm
final energy	-4.06	eV/atom

***

# InCu

A relaxed structure of InCu (PBEsol, Alexandria).

a = 4.1644 Å, b = 4.1644 Å, c = 4.8617 Å
α = 90.00°, β = 90.00°, γ = 120.00°
Closest atoms and distances in Å follow each position.
Fractional coordinates of all 4 atoms:
In1 0.3333 0.6667 0.2500  6 Cu 2.69
In2 0.6667 0.3333 0.7500  6 Cu 2.69
Cu1 0.0000 0.0000 0.0000  2 Cu 2.43, 6 In 2.69
Cu2 0.0000 0.0000 0.5000  2 Cu 2.43, 6 In 2.69

DOS at the Fermi energy	1.9	states/eV/cell
energy of formation from the pure elements	8	kJ/mol of formula units
symmetry	P6_3/mmc
final energy	-3.62	eV/atom

***

# In3Cu

A relaxed structure of In3Cu (PBEsol, Alexandria).

a = 3.4243 Å, b = 5.1444 Å, c = 5.1444 Å
α = 110.28°, β = 90.00°, γ = 90.00°
Closest atoms and distances in Å follow each position.
Fractional coordinates of all 4 atoms:
In1 0.5000 0.0000 0.5000  6 In 2.94-3.09, 4 Cu 3.09
In2 0.5000 0.5000 0.0000  6 In 2.94-3.09, 4 Cu 3.09
In3 0.0000 0.5000 0.5000  2 Cu 2.94, 8 In 3.09
Cu1 0.0000 0.0000 0.0000  10 In 2.94-3.09

DOS at the Fermi energy	1.4	states/eV/cell
energy of formation from the pure elements	76	kJ/mol of formula units
symmetry	Cmmm
final energy	-3.12	eV/atom

***

# In3Cu

A relaxed structure of In3Cu (PBEsol, Alexandria).

a = 5.9195 Å, b = 7.0135 Å, c = 8.1649 Å
α = 90.00°, β = 90.00°, γ = 90.00°
Closest atoms and distances in Å follow each position.
Fractional coordinates of all 16 atoms:
Cu1 0.4534 0.1263 0.2500  8 In 2.72-2.77
Cu2 0.5466 0.8737 0.7500  8 In 2.72-2.77
Cu3 0.0466 0.6263 0.2500  8 In 2.72-2.77
Cu4 0.9534 0.3737 0.7500  8 In 2.72-2.77
In1 0.1443 0.3173 0.4449  3 Cu 2.75-2.77
In2 0.3557 0.8173 0.4449  3 Cu 2.75-2.77
In3 0.8557 0.6827 0.5551  3 Cu 2.75-2.77
In4 0.8887 0.9899 0.2500  2 Cu 2.72-2.75
In5 0.3557 0.8173 0.0551  3 Cu 2.75-2.77
In6 0.6443 0.1827 0.9449  3 Cu 2.75-2.77
In7 0.1443 0.3173 0.0551  3 Cu 2.75-2.77
In8 0.6443 0.1827 0.5551  3 Cu 2.75-2.77
In9 0.6113 0.4899 0.2500  2 Cu 2.72-2.75
In10 0.3887 0.5101 0.7500  2 Cu 2.72-2.75
In11 0.1113 0.0101 0.7500  2 Cu 2.72-2.75
In12 0.8557 0.6827 0.9449  3 Cu 2.75-2.77

DOS at the Fermi energy	5.8	states/eV/cell
energy of formation from the pure elements	11	kJ/mol of formula units
symmetry	Pnma
final energy	-3.29	eV/atom

***

# InCu5

A relaxed structure of InCu5 (PBEsol, Alexandria).

a = 2.7208 Å, b = 4.2331 Å, c = 6.8649 Å
α = 90.00°, β = 101.43°, γ = 90.00°
Closest atoms and distances in Å follow each position.
Fractional coordinates of all 6 atoms:
In1 0.1122 0.5000 0.2244  10 Cu 2.65-2.73, 2 In 2.72
Cu1 0.4396 0.5000 0.8792  10 Cu 2.45-2.72, 2 In 2.69
Cu2 0.6743 0.0000 0.3486  6 Cu 2.51-2.72, 4 In 2.65
Cu3 0.9880 0.0000 0.9759  8 Cu 2.51-2.72, 2 In 2.70
Cu4 0.7878 0.5000 0.5757  10 Cu 2.45-2.72, 2 In 2.73
Cu5 0.3314 0.0000 0.6628  12 Cu 2.51-2.72

DOS at the Fermi energy	1.7	states/eV/cell
energy of formation from the pure elements	43	kJ/mol of formula units
symmetry	Amm2
final energy	-4.04	eV/atom

***

# In3Cu

A relaxed structure of In3Cu (PBEsol, Alexandria).

a = 4.1351 Å, b = 4.2330 Å, c = 5.4481 Å
α = 90.00°, β = 109.56°, γ = 90.00°
Closest atoms and distances in Å follow each position.
Fractional coordinates of all 4 atoms:
In1 0.6276 0.5000 0.7815  2 Cu 2.65, 2 In 2.89-2.91
In2 0.0000 0.0000 0.5000  2 Cu 2.72
In3 0.3724 0.5000 0.2185  2 Cu 2.65, 2 In 2.89-2.91
Cu1 0.0000 0.0000 0.0000  6 In 2.65-2.72

DOS at the Fermi energy	1.7	states/eV/cell
energy of formation from the pure elements	53	kJ/mol of formula units
symmetry	P2/m
final energy	-3.18	eV/atom

***

Repeat the third record exactly.
# InCu2

A relaxed structure of InCu2 (PBEsol, Alexandria).

a = 4.2070 Å, b = 4.2070 Å, c = 4.2070 Å
α = 60.00°, β = 60.00°, γ = 60.00°
Closest atoms and distances in Å follow each position.
Fractional coordinates of all 3 atoms:
In1 0.0000 0.0000 0.0000  8 Cu 2.58
Cu1 0.2500 0.2500 0.2500  4 In 2.58
Cu2 0.7500 0.7500 0.7500  4 In 2.58

DOS at the Fermi energy	1.3	states/eV/cell
energy of formation from the pure elements	113	kJ/mol of formula units
symmetry	Fm-3m
final energy	-3.49	eV/atom

***

Q: Which value of energy of formation from the pure elements does entry 8 give?
A: 8 kJ/mol of formula units

***

Q: Number 12 is which compound?
A: In3Cu

***

Q: Among the records above, which one has the lowest energy of formation from the pure elements?
A: number 8